A plane-wave DFT calculation with PBE was carried out for an optimized crystal structure of Ba2ErTm3O8.

a b c (Å): 6.8992 6.8992 18.0142
angles (deg): 90.00 90.00 120.00
With the nearest neighbours (Å) after each atom.
Space group R3m (No. 160, hexagonal axes)
One atom of each set of equivalent atoms:
Ba (0.0000, 0.0000, 0.0000) x3  4 O 2.49-2.65
Ba (0.0000, 0.0000, 0.3776) x3  6 O 2.58-2.65
Er (0.0000, 0.0000, 0.7611) x3  3 O 2.15
Tm (0.0084, 0.5042, 0.8774) x9  5 O 2.16-2.39
O (0.0000, 0.0000, 0.1469) x3  3 Tm 2.26
O (0.0000, 0.0000, 0.6198) x3  3 Tm 2.46, 1 Er 2.54
O (0.1676, 0.3351, 0.4736) x9  1 Er 2.15, 2 Tm 2.39
O (0.1870, 0.3740, 0.9393) x9  2 Tm 2.16

## Properties
The value obtained for the final energy is -7.589 eV/atom. The volume comes out at 742.59 Å³/cell.